No. 1
Compound: LiAc2Ga10
Source: Alexandria
Functional: PBE
Structure: relaxed

The structure belongs to space group P2_1/c (No. 14); the cell edges are 5.8024, 6.6334 and 15.6775 Å and the angles 90.00°, 100.43° and 90.00°. Symmetry generates all atoms from Li at (0.0000, 0.0000, 0.0000), Ac at (0.4389, 0.2332, 0.8612), Ga at (0.0186, 0.6551, 0.0587), Ga at (0.0898, 0.0366, 0.6986), Ga at (0.1048, 0.0480, 0.1734), Ga at (0.2315, 0.7220, 0.9228) and Ga at (0.3309, 0.2116, 0.5785).

As for the energy of formation from the pure elements: -0.274 eV/atom. The density of states at the Fermi level comes out at 0.347 states/eV/atom.

***

No. 2
Compound: TlCuF3
Source: Alexandria
Functional: PBE
Structure: relaxed

The structure belongs to space group R3m (No. 160, hexagonal axes); the cell edges are 7.0832, 7.0832 and 5.7083 Å and the angles 90.00°, 90.00° and 120.00°. Symmetry generates all atoms from Tl at (0.0000, 0.0000, 0.0000), Cu at (0.0000, 0.0000, 0.5408) and F at (0.2046, 0.4093, 0.0036).

As for the formation energy without anion corrections: -6.718 eV/f.u. The density of states at the Fermi level comes out at 0.606 states/eV/atom.

***

No. 3
Compound: Sr2BS
Source: Alexandria
Functional: PBE
Structure: relaxed

The structure belongs to space group Fm-3m (No. 225); the cell edges are 7.2874, 7.2874 and 7.2874 Å and the angles 90.00°, 90.00° and 90.00°. Symmetry generates all atoms from Sr at (0.2500, 0.2500, 0.2500), B at (0.0000, 0.0000, 0.0000) and S at (0.0000, 0.0000, 0.5000).

The calculation puts the polymorph energy (0 for the lowest one) at 0.0 meV per atom. As for the formation energy without anion corrections: -0.816 eV/f.u. The density of states at the Fermi level comes out at 0.191 states/eV/atom.

***

No. 4
Compound: NaCa2NdS4
Source: Alexandria
Functional: PBE
Structure: relaxed

The structure belongs to space group P2/m (No. 10); the cell edges are 6.9963, 4.0894 and 7.0153 Å and the angles 90.00°, 108.67° and 90.00°. Symmetry generates all atoms from Na at (0.0000, 0.0000, 0.0000), Ca at (0.0000, 0.5000, 0.5000), Ca at (0.5000, 0.0000, 0.5000), Nd at (0.5000, 0.5000, 0.0000), S at (0.2540, 0.0000, 0.7510) and S at (0.2603, 0.5000, 0.2573).

As for the formation energy without anion corrections: -15.581 eV/f.u. The density of states at the Fermi level comes out at 0.000 states/eV/atom.

***

No. 5
Compound: BiSF2
Source: Alexandria
Functional: PBE
Structure: relaxed

The structure belongs to space group I-42d (No. 122); the cell edges are 4.1997, 4.1997 and 16.1732 Å and the angles 90.00°, 90.00° and 90.00°. Symmetry generates all atoms from Bi at (0.0000, 0.0000, 0.0000), S at (0.0000, 0.0000, 0.5000) and F at (0.1748, 0.2500, 0.1250).

The calculation puts the polymorph energy (0 for the lowest one) at 202.5 meV per atom. As for the formation energy without anion corrections: -4.553 eV/f.u. The density of states at the Fermi level comes out at 0.053 states/eV/atom.

***

No. 6
Compound: Tb4Pr2Dy2Tm
Source: Alexandria
Functional: PBE
Structure: relaxed

The structure belongs to space group C2/m (No. 12); the cell edges are 18.7412, 3.6164 and 9.6005 Å and the angles 90.00°, 115.65° and 90.00°. Symmetry generates all atoms from Tb at (0.0192, 0.0000, 0.3341), Tb at (0.1855, 0.5000, 0.3355), Pr at (0.1649, 0.0000, 0.9983), Dy at (0.1468, 0.5000, 0.6623) and Tm at (0.0000, 0.5000, 0.0000).

As for the energy of formation from the pure elements: 0.001 eV/atom. The density of states at the Fermi level comes out at 1.318 states/eV/atom.

***

No. 7
Compound: NaB2I8
Source: Alexandria
Functional: PBE
Structure: relaxed

The structure belongs to space group C2/m (No. 12); the cell edges are 11.5979, 10.8955 and 8.7297 Å and the angles 90.00°, 99.52° and 90.00°. Symmetry generates all atoms from Na at (0.0000, 0.0000, 0.0000), B at (0.2423, 0.5000, 0.2625), I at (0.0596, 0.5000, 0.2625), I at (0.1643, 0.1688, 0.7396) and I at (0.2218, 0.0000, 0.2352).

The calculation puts the polymorph energy (0 for the lowest one) at 61.8 meV per atom. As for the formation energy without anion corrections: -1.363 eV/f.u. The density of states at the Fermi level comes out at 0.490 states/eV/atom.

***

No. 8
Compound: LaPr2YTm5
Source: Alexandria
Functional: PBE
Structure: relaxed

The structure belongs to space group I4/mcm (No. 140); the cell edges are 8.7288, 8.7288 and 15.5027 Å and the angles 90.00°, 90.00° and 90.00°. Symmetry generates all atoms from La at (0.0000, 0.0000, 0.2500), Pr at (0.1174, 0.3826, 0.0000), Y at (0.0000, 0.5000, 0.2500), Tm at (0.0000, 0.0000, 0.0000) and Tm at (0.2110, 0.2890, 0.3624).

As for the energy of formation from the pure elements: 0.256 eV/atom. The density of states at the Fermi level comes out at 1.145 states/eV/atom.